Entry from the Alexandria database: an optimized crystal structure of ZnB2S2 (PBE-GGA).

abc: 4.230 4.230 4.457
angles: 61.67 61.67 90.00
Positions (direct):
Zn 0.000 0.000 0.000
B 0.366 0.366 0.267
B 0.634 0.634 0.733
S 0.750 0.250 0.500
S 0.250 0.750 0.500

Values from the calculation:
E_form (uncorrected) = 0.62 eV/atom
Magnetic moment = 0.0 Bohr magnetons per cell
DOS(E_F) = 0.248 states/eV per atom
Relative energy among the computed polymorphs = 0.674 eV/atom
VASP energy = -3.961 eV per atom